Computed, not measured: crystalline InGa2PO6 at its relaxed geometry at the PBE level of DFT.

```
data_InGa2PO6
_symmetry_space_group_name_H-M 'C 1 2/c 1'
_symmetry_Int_Tables_number 15
_symmetry_space_group_name_Hall '-C 2yc'
_cell_length_a 9.045
_cell_length_b 9.751
_cell_length_c 6.052
_cell_angle_alpha 90.00
_cell_angle_beta 111.90
_cell_angle_gamma 90.00
loop_
_atom_site_label
_atom_site_fract_x
_atom_site_fract_y
_atom_site_fract_z
In1 0.000 0.099 0.250
Ga1 0.133 0.414 0.160
P1 0.000 0.215 0.750
O1 0.117 0.095 0.696
O2 0.120 0.223 0.091
O3 0.122 0.438 0.461
```

The value obtained for the uncorrected formation energy is -1.57 eV per atom. The crystal system is monoclinic. The total magnetic moment is 0.000 μB/cell.